[1]
## Na2ScBiO4 (GGA-PBE)

Data for a relaxed Na2ScBiO4 crystal.

Unit cell a=3.3485 b=5.9030 c=5.9182 alpha=109.32 beta=90.00 gamma=90.00
Last column: nearest neighbours and their distance in Å.
Positions (direct):
Sc (0.5000, 0.5000, 0.0000)  6 O 2.17-2.21
Na (0.5000, 0.0000, 0.5000)  6 O 2.59-2.65
Na (0.0000, 0.5000, 0.5000)  6 O 2.43-2.46
O (0.0000, 0.2846, 0.7925)  2 Sc 2.21, 1 Bi 2.39, 1 Na 2.46
O (0.0000, 0.7154, 0.2075)  2 Sc 2.21, 1 Bi 2.39, 1 Na 2.46
O (0.5000, 0.7294, 0.7798)  1 Sc 2.17, 2 Bi 2.38
O (0.5000, 0.2706, 0.2202)  1 Sc 2.17, 2 Bi 2.38
Bi (0.0000, 0.0000, 0.0000)  6 O 2.38-2.39

Properties
symmetry	P2/m, No. 10
total magnetization	0.00	Bohr magnetons per cell
formation energy without anion corrections	-2.04	eV/atom
D(E_F)	0.0	states/eV/f.u.



[2]
## NaScBi2O6 (GGA-PBE)

Data for a relaxed NaScBi2O6 crystal.

Unit cell a=5.6781 b=5.6781 c=6.1684 alpha=62.60 beta=62.59 gamma=60.00
Last column: nearest neighbours and their distance in Å.
Positions (direct):
O (0.3701, 0.7169, 0.7675)  1 Bi 2.14, 1 Sc 2.20, 1 Na 2.37
O (0.9515, 0.6102, 0.2252)  1 Sc 2.10, 2 Bi 2.20-2.35
O (0.6102, 0.2132, 0.2251)  1 Sc 2.10, 2 Bi 2.20-2.35
O (0.2133, 0.9514, 0.2251)  1 Sc 2.10, 2 Bi 2.20-2.35
O (0.1454, 0.3701, 0.7676)  1 Bi 2.14, 1 Sc 2.20, 1 Na 2.37
O (0.7169, 0.1455, 0.7676)  1 Bi 2.14, 1 Sc 2.20, 1 Na 2.37
Sc (0.3172, 0.3172, 0.0484)  6 O 2.10-2.20
Bi (0.0132, 0.0132, 0.9605)  6 O 2.14-2.20
Bi (0.5247, 0.5246, 0.4261)  6 O 2.35-2.42
Na (0.7992, 0.7992, 0.6022)  6 O 2.37-2.61

Properties
symmetry	R3, No. 146
total magnetization	0.00	Bohr magnetons per cell
formation energy without anion corrections	-1.75	eV/atom



[3]
## Na2Sc4Bi3O2 (GGA-PBE)

Data for a relaxed Na2Sc4Bi3O2 crystal.

Unit cell a=4.4031 b=4.4031 c=13.1800 alpha=99.62 beta=99.62 gamma=90.00
Last column: nearest neighbours and their distance in Å.
Positions (direct):
Sc (0.0850, 0.5850, 0.1700)  2 O 2.20
Sc (0.9150, 0.4150, 0.8300)  2 O 2.20
Sc (0.4150, 0.9150, 0.8300)  2 O 2.20
Sc (0.5850, 0.0850, 0.1700)  2 O 2.20
O (0.4159, 0.4159, 0.8319)  4 Sc 2.20
O (0.5841, 0.5841, 0.1681)  4 Sc 2.20
Bi (0.1683, 0.1683, 0.3365)  4 Sc 3.07, 5 Na 3.23-3.34
Bi (0.8317, 0.8317, 0.6635)  4 Sc 3.07, 5 Na 3.23-3.34
Bi (0.0000, 0.0000, 0.0000)  8 Sc 3.10
Na (0.7013, 0.7013, 0.4025)  1 O 3.00, 5 Bi 3.23-3.34
Na (0.2987, 0.2987, 0.5975)  1 O 3.00, 5 Bi 3.23-3.34

Properties
symmetry	I4/mmm, No. 139
total magnetization	0.00	Bohr magnetons per cell
formation energy without anion corrections	-1.41	eV/atom
D(E_F)	2.1	states/eV/f.u.



[4]
## Na2Sc2BiO6 (GGA-PBE)

Data for a relaxed Na2Sc2BiO6 crystal.

Unit cell a=5.6803 b=5.6803 c=5.9608 alpha=99.20 beta=99.20 gamma=120.28
Last column: nearest neighbours and their distance in Å.
Positions (direct):
Sc (0.3341, 0.6659, 0.5000)  6 O 2.12-2.18
Sc (0.6659, 0.3341, 0.5000)  6 O 2.12-2.18
Na (0.1715, 0.8285, 0.0000)  6 O 2.43-2.59
Na (0.8285, 0.1715, 0.0000)  6 O 2.43-2.59
O (0.2745, 0.2745, 0.3001)  2 Sc 2.18, 1 Bi 2.24
O (0.5847, 0.9432, 0.3024)  2 Sc 2.12-2.18, 1 Bi 2.30
O (0.4153, 0.0568, 0.6976)  2 Sc 2.12-2.18, 1 Bi 2.30
O (0.9432, 0.5847, 0.3024)  2 Sc 2.12-2.18, 1 Bi 2.30
O (0.7255, 0.7255, 0.6999)  2 Sc 2.18, 1 Bi 2.24
O (0.0568, 0.4153, 0.6976)  2 Sc 2.12-2.18, 1 Bi 2.30
Bi (0.0000, 0.0000, 0.5000)  6 O 2.24-2.30

Properties
symmetry	C2/m, No. 12
total magnetization	0.67	Bohr magnetons per cell
formation energy without anion corrections	-2.27	eV/atom
D(E_F)	4.5	states/eV/f.u.



[5]
## Na3ScBi2O6 (GGA-PBE)

Data for a relaxed Na3ScBi2O6 crystal.

Unit cell a=5.9624 b=5.9624 c=5.9521 alpha=99.51 beta=99.51 gamma=120.16
Last column: nearest neighbours and their distance in Å.
Positions (direct):
Na (0.8411, 0.1589, 0.5000)  4 O 2.44-2.46
Na (0.1589, 0.8411, 0.5000)  4 O 2.44-2.46
Na (0.5000, 0.5000, 0.5000)  6 O 2.47-2.68
O (0.0728, 0.3763, 0.2193)  1 Sc 2.19, 2 Bi 2.41-2.42
O (0.3763, 0.0728, 0.2193)  1 Sc 2.19, 2 Bi 2.41-2.42
O (0.6237, 0.9272, 0.7807)  1 Sc 2.19, 2 Bi 2.41-2.42
O (0.2337, 0.2337, 0.7858)  1 Sc 2.18, 2 Bi 2.40
O (0.9272, 0.6237, 0.7807)  1 Sc 2.19, 2 Bi 2.41-2.42
O (0.7663, 0.7663, 0.2142)  1 Sc 2.18, 2 Bi 2.40
Sc (0.0000, 0.0000, 0.0000)  6 O 2.18-2.19
Bi (0.3329, 0.6671, 0.0000)  6 O 2.40-2.42
Bi (0.6671, 0.3329, 0.0000)  6 O 2.40-2.42

Properties
symmetry	C2/m, No. 12
total magnetization	0.00	Bohr magnetons per cell
formation energy without anion corrections	-1.81	eV/atom
D(E_F)	0.0	states/eV/f.u.



[6]
## NaBiSeO4 (GGA-PBE)

Data for a relaxed NaBiSeO4 crystal.

Unit cell a=7.3274 b=6.6585 c=6.6585 alpha=61.22 beta=56.62 gamma=56.62
Last column: nearest neighbours and their distance in Å.
Positions (direct):
Bi (0.0000, 0.5000, 0.5000)  6 O 2.35-2.51
Bi (0.0000, 0.0000, 0.0000)  6 O 2.35-2.51
Na (0.5000, 0.0000, 0.5000)  2 O 2.25
Na (0.0000, 0.0000, 0.5000)  2 O 2.25
Se (0.5982, 0.6518, 0.1518)  2 O 1.74
Se (0.4018, 0.3482, 0.8482)  2 O 1.74
O (0.7828, 0.7456, 0.2456)  1 Se 2.20, 1 Na 2.25, 2 Bi 2.35
O (0.2172, 0.2544, 0.7544)  1 Se 2.20, 1 Na 2.25, 2 Bi 2.35
O (0.2826, 0.2627, 0.1721)  1 Se 1.74
O (0.2826, 0.6721, 0.7627)  1 Se 1.74
O (0.7741, 0.2544, 0.7544)  1 Se 2.20, 1 Na 2.25, 2 Bi 2.35
O (0.7174, 0.7373, 0.8279)  1 Se 1.74
O (0.2259, 0.7456, 0.2456)  1 Se 2.20, 1 Na 2.25, 2 Bi 2.35
O (0.7174, 0.3279, 0.2373)  1 Se 1.74

Properties
symmetry	Imma, No. 74
total magnetization	0.00	Bohr magnetons per cell
formation energy without anion corrections	-1.01	eV/atom
D(E_F)	0.1	states/eV/f.u.



[7]
## NaBiSe2O8 (GGA-PBE)

Data for a relaxed NaBiSe2O8 crystal.

Unit cell a=5.2890 b=5.2890 c=8.2953 alpha=71.41 beta=71.41 gamma=60.00
Last column: nearest neighbours and their distance in Å.
Positions (direct):
O (0.4360, 0.7123, 0.8161)  1 Se 1.69
O (0.5640, 0.2877, 0.1839)  1 Se 1.69
O (0.0356, 0.4360, 0.8161)  1 Se 1.69
O (0.2877, 0.9644, 0.1839)  1 Se 1.69
O (0.7123, 0.0356, 0.8161)  1 Se 1.69
O (0.1756, 0.1756, 0.4732)  1 Se 1.64
O (0.8244, 0.8244, 0.5268)  1 Se 1.64
O (0.9644, 0.5640, 0.1839)  1 Se 1.69
Na (0.5000, 0.5000, 0.5000)  12 O 3.03-3.06
Se (0.2465, 0.2465, 0.2605)  4 O 1.64-1.69
Se (0.7535, 0.7535, 0.7395)  4 O 1.64-1.69
Bi (0.0000, 0.0000, 0.0000)  6 O 2.39

Properties
symmetry	R-3, No. 148
total magnetization	0.00	Bohr magnetons per cell
formation energy without anion corrections	-0.95	eV/atom
D(E_F)	0.0	states/eV/f.u.



[8]
## Na2BiSeO6 (GGA-PBE)

Data for a relaxed Na2BiSeO6 crystal.

Unit cell a=4.5969 b=5.5487 c=5.5487 alpha=90.00 beta=90.00 gamma=90.00
Last column: nearest neighbours and their distance in Å.
Positions (direct):
O (0.7062, 0.2215, 0.2215)  1 Se 1.81
O (0.1334, 0.5000, 0.5000)  1 Bi 2.12
O (0.7062, 0.7785, 0.7785)  1 Se 1.81
O (0.7062, 0.2215, 0.7785)  1 Se 1.81
O (0.2344, 0.0000, 0.0000)  1 Se 1.66
O (0.7062, 0.7785, 0.2215)  1 Se 1.81
Na (0.0323, 0.5000, 0.0000)  4 O 2.48
Na (0.0323, 0.0000, 0.5000)  4 O 2.48
Bi (0.5945, 0.5000, 0.5000)  5 O 2.12-2.24
Se (0.5951, 0.0000, 0.0000)  5 O 1.66-1.81

Properties
symmetry	P4mm, No. 99
total magnetization	0.00	Bohr magnetons per cell
formation energy without anion corrections	-0.99	eV/atom
D(E_F)	3.1	states/eV/f.u.



[9]
## Na2SiBiO4 (GGA-PBE)

Data for a relaxed Na2SiBiO4 crystal.

Unit cell a=5.3693 b=5.3693 c=5.3693 alpha=107.61 beta=110.41 gamma=110.41
Last column: nearest neighbours and their distance in Å.
Positions (direct):
O (0.3063, 0.8129, 0.8108)  1 Si 1.67
O (0.0021, 0.1892, 0.4954)  1 Si 1.67
O (0.9979, 0.4933, 0.1871)  1 Si 1.67
O (0.6937, 0.5046, 0.5067)  1 Si 1.67
Na (0.5000, 0.7500, 0.2500)  4 O 2.40
Na (0.0000, 0.0000, 0.0000)  4 O 2.54
Bi (0.5000, 0.2500, 0.7500)  4 O 2.39
Si (0.0000, 0.5000, 0.5000)  4 O 1.67

Properties
symmetry	I-4, No. 82
total magnetization	1.00	Bohr magnetons per cell
formation energy without anion corrections	-1.82	eV/atom



[10]
## Na4Sm3BiO8 (GGA-PBE)

Data for a relaxed Na4Sm3BiO8 crystal.

Unit cell a=7.0668 b=6.9642 c=7.0670 alpha=120.49 beta=120.00 gamma=90.00
Last column: nearest neighbours and their distance in Å.
Positions (direct):
Sm (0.5000, 0.5000, 0.0000)  6 O 2.37
Sm (0.5000, 0.5000, 0.5000)  6 O 2.37
Sm (0.0000, 0.5000, 0.5000)  6 O 2.37
Na (0.5000, 0.0000, 0.0000)  6 O 2.55
Na (0.0000, 0.0000, 0.0000)  6 O 2.59-2.61
Na (0.0000, 0.0000, 0.5000)  6 O 2.59-2.61
Na (0.5000, 0.0000, 0.5000)  6 O 2.59-2.61
O (0.7376, 0.7128, 0.4752)  3 Sm 2.37, 3 Na 2.61
O (0.2660, 0.2798, 0.0229)  2 Sm 2.37, 1 Bi 2.42, 3 Na 2.55-2.60
O (0.7340, 0.7202, 0.9771)  2 Sm 2.37, 1 Bi 2.42, 3 Na 2.55-2.60
O (0.7569, 0.2798, 0.0229)  2 Sm 2.37, 1 Bi 2.42, 3 Na 2.55-2.60
O (0.7569, 0.2798, 0.5139)  2 Sm 2.37, 1 Bi 2.42, 3 Na 2.55-2.59
O (0.2624, 0.2872, 0.5248)  3 Sm 2.37, 3 Na 2.61
O (0.2431, 0.7202, 0.4861)  2 Sm 2.37, 1 Bi 2.42, 3 Na 2.55-2.59
O (0.2431, 0.7202, 0.9771)  2 Sm 2.37, 1 Bi 2.42, 3 Na 2.55-2.60
Bi (0.0000, 0.5000, 0.0000)  6 O 2.42

Properties
symmetry	R-3m, No. 166
total magnetization	0.00	Bohr magnetons per cell
formation energy without anion corrections	-2.35	eV/atom
D(E_F)	0.0	states/eV/f.u.



[11]
## Na3Sm3BiO8 (GGA-PBE)

Data for a relaxed Na3Sm3BiO8 crystal.

Unit cell a=7.0538 b=7.0536 c=6.9561 alpha=120.47 beta=90.00 gamma=120.00
Last column: nearest neighbours and their distance in Å.
Positions (direct):
Na (0.0000, 0.0000, 0.0000)  6 O 2.58-2.61
Na (0.5000, 0.5000, 0.0000)  6 O 2.58-2.61
Na (0.0000, 0.5000, 0.0000)  6 O 2.58-2.61
O (0.7502, 0.9794, 0.7086)  1 Bi 2.28, 2 Sm 2.39
O (0.7708, 0.5415, 0.2914)  1 Bi 2.28, 2 Sm 2.39
O (0.7364, 0.4728, 0.7092)  3 Sm 2.35, 3 Na 2.61
O (0.2636, 0.5272, 0.2908)  3 Sm 2.35, 3 Na 2.61
O (0.2498, 0.0206, 0.2914)  1 Bi 2.28, 2 Sm 2.39
O (0.2292, 0.4585, 0.7086)  1 Bi 2.28, 2 Sm 2.39
O (0.7708, 0.0206, 0.2914)  1 Bi 2.28, 2 Sm 2.39
O (0.2292, 0.9794, 0.7086)  1 Bi 2.28, 2 Sm 2.39
Sm (0.5000, 0.5000, 0.5000)  6 O 2.35-2.39
Sm (0.0000, 0.5000, 0.5000)  6 O 2.35-2.39
Sm (0.5000, 0.0000, 0.5000)  6 O 2.35-2.39
Bi (0.0000, 0.0000, 0.5000)  6 O 2.28

Properties
symmetry	R-3m, No. 166
total magnetization	0.00	Bohr magnetons per cell
formation energy without anion corrections	-2.33	eV/atom
D(E_F)	1.9	states/eV/f.u.



[12]
## NaSnBi2O6 (GGA-PBE)

Data for a relaxed NaSnBi2O6 crystal.

Unit cell a=5.7878 b=5.7877 c=6.1838 alpha=62.10 beta=62.10 gamma=60.00
Last column: nearest neighbours and their distance in Å.
Positions (direct):
O (0.2083, 0.9645, 0.2346)  1 Sn 2.08, 1 Bi 2.33
O (0.3963, 0.6948, 0.7654)  1 Sn 2.16, 2 Bi 2.27-2.38, 1 Na 2.35
O (0.5926, 0.2083, 0.2346)  1 Sn 2.08, 1 Bi 2.33
O (0.6948, 0.1435, 0.7654)  1 Sn 2.16, 2 Bi 2.27-2.38, 1 Na 2.35
O (0.9645, 0.5926, 0.2346)  1 Sn 2.08, 1 Bi 2.33
O (0.1435, 0.3963, 0.7654)  1 Sn 2.16, 2 Bi 2.27-2.38, 1 Na 2.35
Bi (0.5244, 0.5244, 0.4268)  6 O 2.38-2.41
Bi (0.0165, 0.0165, 0.9504)  6 O 2.27-2.33
Na (0.8021, 0.8020, 0.5939)  6 O 2.35-2.59
Sn (0.3186, 0.3186, 0.0442)  6 O 2.08-2.16

Properties
symmetry	R3, No. 146
total magnetization	0.72	Bohr magnetons per cell
formation energy without anion corrections	-1.35	eV/atom
D(E_F)	3.8	states/eV/f.u.